Below is SrLa2PuP4 after structural relaxation, with properties calculated at the PBE level.

As for the total energy: -7.19 eV per atom.

The space group is P2/m (No. 10) and the conventional cell measures 7.274, 4.238 and 7.320 Å, with angles of 90.00, 109.29 and 90.00 degrees. The asymmetric unit holds Sr at (0.000, 0.000, 0.000), La at (0.500, 0.000, 0.500), La at (0.500, 0.500, 0.000), Pu at (0.000, 0.500, 0.500), P at (0.238, 0.000, 0.732) and P at (0.247, 0.500, 0.269).